*1*
{
  "formula": "YErCuNi",
  "functional": "GGA-PBE",
  "state": "relaxed",
  "density_g_cm3": 7.9,
  "lattice_angstrom": [[-4.189, 0.082, 2.392], [-3.793, -2.453, -1.694], [-1.541, -3.950, 2.302]],
  "species": ["Cu", "Ni", "Er", "Y"],
  "fractional_positions": [[0.000, 0.000, 0.000], [0.500, 0.500, 0.500], [0.250, 0.250, 0.250], [0.750, 0.750, 0.750]]
}



*2*
{
  "formula": "YErCuNi",
  "functional": "GGA-PBE",
  "state": "relaxed",
  "density_g_cm3": 7.6,
  "lattice_angstrom": [[-0.569, -3.254, 1.650], [0.199, -2.005, -3.886], [5.316, 1.033, -0.260]],
  "species": ["Y", "Er", "Cu", "Ni"],
  "fractional_positions": [[0.140, 0.000, 0.281], [0.862, 0.500, 0.723], [0.571, 0.500, 0.143], [0.427, 0.000, 0.853]]
}



Stability check: which of them is least stable? *1*.



*1*
{
  "formula": "Er8CuOs2",
  "functional": "GGA-PBE",
  "state": "relaxed",
  "density_g_cm3": 10.2,
  "lattice_angstrom": [[5.589, 0.097, -0.912], [-1.794, 6.809, -2.730], [0.002, 0.027, 7.552]],
  "species": ["Os", "Os", "Er", "Er", "Er", "Er", "Er", "Er", "Er", "Er", "Cu"],
  "fractional_positions": [[0.488, 0.692, 0.317], [0.488, 0.317, 0.692], [0.390, 0.934, 0.669], [0.990, 0.773, 0.230], [0.583, 0.075, 0.340], [0.185, 0.373, 0.373], [0.990, 0.230, 0.773], [0.794, 0.630, 0.630], [0.390, 0.669, 0.934], [0.583, 0.340, 0.075], [0.119, 0.001, 0.001]]
}



*2*
{
  "formula": "Er8CuOs2",
  "functional": "GGA-PBE",
  "state": "relaxed",
  "density_g_cm3": 10.8,
  "lattice_angstrom": [[-2.576, -2.517, -3.108], [0.291, -5.481, 4.199], [-5.801, 5.855, 3.706]],
  "species": ["Er", "Er", "Er", "Er", "Er", "Er", "Er", "Er", "Cu", "Os", "Os"],
  "fractional_positions": [[0.598, 0.468, 0.196], [0.205, 0.315, 0.411], [0.795, 0.685, 0.589], [0.033, 0.783, 0.066], [0.670, 0.962, 0.340], [0.402, 0.532, 0.804], [0.330, 0.038, 0.660], [0.967, 0.217, 0.934], [0.500, 0.000, 0.000], [0.185, 0.704, 0.371], [0.815, 0.296, 0.629]]
}



Stability check: which of them is least stable? *1*.



*1*
{
  "formula": "ErCuOs",
  "functional": "GGA-PBE",
  "state": "relaxed",
  "density_g_cm3": 13.7,
  "lattice_angstrom": [[4.723, 0.000, 0.000], [0.000, 5.385, 0.000], [-2.361, 0.000, 4.008]],
  "species": ["Os", "Os", "Er", "Er", "Cu", "Cu"],
  "fractional_positions": [[0.000, 0.500, 0.000], [0.000, 0.000, 0.000], [0.338, 0.750, 0.676], [0.662, 0.250, 0.324], [0.323, 0.250, 0.646], [0.677, 0.750, 0.354]]
}



*2*
{
  "formula": "ErCuOs",
  "functional": "GGA-PBE",
  "state": "relaxed",
  "density_g_cm3": 13.6,
  "lattice_angstrom": [[-1.991, -4.250, 2.149], [0.016, -4.542, -2.769], [3.238, -4.048, 1.193]],
  "species": ["Cu", "Cu", "Er", "Er", "Os", "Os"],
  "fractional_positions": [[0.500, 0.000, 0.500], [0.500, 0.500, 0.000], [0.879, 0.371, 0.371], [0.121, 0.629, 0.629], [0.500, 0.000, 0.000], [0.000, 0.000, 0.000]]
}



Stability check: which of them is least stable? *1*.



*1*
{
  "formula": "Er4CuOs",
  "functional": "GGA-PBE",
  "state": "relaxed",
  "density_g_cm3": 10.5,
  "lattice_angstrom": [[-0.281, -0.427, -3.377], [2.080, -2.704, 0.169], [-9.832, -7.452, 1.760]],
  "species": ["Er", "Er", "Er", "Er", "Cu", "Os"],
  "fractional_positions": [[0.500, 0.500, 0.136], [0.500, 0.500, 0.864], [0.000, 0.000, 0.631], [0.000, 0.000, 0.369], [0.000, 0.000, 0.000], [0.500, 0.500, 0.500]]
}



*2*
{
  "formula": "Er4CuOs",
  "functional": "GGA-PBE",
  "state": "relaxed",
  "density_g_cm3": 9.7,
  "lattice_angstrom": [[-0.082, 6.485, -2.144], [-6.802, 0.048, 0.407], [0.398, 2.348, 6.364]],
  "species": ["Os", "Os", "Er", "Er", "Er", "Er", "Er", "Er", "Er", "Er", "Cu", "Cu"],
  "fractional_positions": [[0.500, 0.500, 0.000], [0.000, 0.000, 0.000], [0.172, 0.337, 0.844], [0.828, 0.663, 0.156], [0.347, 0.337, 0.332], [0.153, 0.837, 0.668], [0.328, 0.837, 0.156], [0.672, 0.163, 0.844], [0.653, 0.663, 0.668], [0.847, 0.163, 0.332], [0.000, 0.500, 0.500], [0.500, 0.000, 0.500]]
}



Stability check: which of them is least stable? *2*.